1.
Entry from the Alexandria database: a geometry-optimized SrLaCo2 structure (PBE-GGA).

a b c (Å): 3.421 3.421 8.387
angles (deg): 90.00 90.00 90.00
Fractional positions:
Sr1 0.000 0.000 0.000
La1 0.500 0.500 0.570
Co1 0.000 0.000 0.345
Co2 0.500 0.500 0.270

Results
Its crystal system is tetragonal. For the energy above the most stable polymorph in this dataset, the calculation gives 0.2112 eV/atom.

2.
Entry from the Alexandria database: a geometry-optimized K2PuH6Au2 structure (PBE-GGA).

a b c (Å): 5.266 5.266 7.246
angles (deg): 105.29 105.29 63.41
Fractional positions:
K1 0.206 0.206 0.117
K2 0.794 0.794 0.883
Pu1 0.000 0.000 0.500
H1 0.203 0.763 0.234
H2 0.237 0.797 0.766
H3 0.247 0.247 0.724
H4 0.753 0.753 0.276
H5 0.763 0.203 0.234
H6 0.797 0.237 0.766
Au1 0.419 0.419 0.654
Au2 0.581 0.581 0.346

Results
Its crystal system is monoclinic. For the total energy, the calculation gives -4.06 eV/atom.

3.
Entry from the Alexandria database: a geometry-optimized CePd6Au4 structure (PBE-GGA).

a b c (Å): 8.002 8.002 8.002
angles (deg): 140.01 140.01 57.84
Fractional positions:
Ce1 0.000 0.000 0.000
Pd1 0.000 0.500 0.500
Pd2 0.031 0.643 0.000
Pd3 0.357 0.357 0.388
Pd4 0.500 0.000 0.500
Pd5 0.643 0.031 0.000
Pd6 0.969 0.969 0.612
Au1 0.175 0.175 0.631
Au2 0.456 0.825 0.000
Au3 0.544 0.544 0.369
Au4 0.825 0.456 0.000

Results
Its crystal system is tetragonal. For the total energy, the calculation gives -4.70 eV/atom.

4.
Entry from the Alexandria database: a geometry-optimized Be3CuTe structure (PBE-GGA).

a b c (Å): 4.701 4.701 4.701
angles (deg): 90.00 90.00 90.00
Fractional positions:
Be1 0.000 0.000 0.500
Be2 0.000 0.500 0.000
Be3 0.500 0.000 0.000
Cu1 0.500 0.500 0.500
Te1 0.000 0.000 0.000

Results
The calculation puts the raw formation energy at 1527 meV per atom. Its crystal system is cubic. For the energy above the most stable polymorph in this dataset, the calculation gives 0.8585 eV/atom.

5.
Entry from the Alexandria database: a geometry-optimized MgTeAs structure (PBE-GGA).

a b c (Å): 6.781 6.781 6.781
angles (deg): 90.00 90.00 90.00
Fractional positions:
Mg1 0.000 0.000 0.000
Mg2 0.000 0.500 0.500
Mg3 0.500 0.000 0.500
Mg4 0.500 0.500 0.000
Te1 0.250 0.250 0.750
Te2 0.250 0.750 0.250
Te3 0.750 0.250 0.250
Te4 0.750 0.750 0.750
As1 0.250 0.250 0.250
As2 0.250 0.750 0.750
As3 0.750 0.250 0.750
As4 0.750 0.750 0.250

Results
The calculation puts the raw formation energy at -90 meV per atom. Its crystal system is cubic.

6.
Entry from the Alexandria database: a geometry-optimized LiTmN structure (PBE-GGA).

a b c (Å): 3.154 3.154 8.019
angles (deg): 90.00 90.00 90.00
Fractional positions:
Li1 0.250 0.750 0.000
Li2 0.750 0.250 0.000
Tm1 0.250 0.250 0.295
Tm2 0.750 0.750 0.705
N1 0.250 0.250 0.825
N2 0.750 0.750 0.175

Results
The calculation puts the raw formation energy at -802 meV per atom. Its crystal system is tetragonal.

7.
Entry from the Alexandria database: a geometry-optimized LiCeCd2Pd4 structure (PBE-GGA).

a b c (Å): 8.199 8.199 8.199
angles (deg): 33.16 33.16 33.16
Fractional positions:
Li1 0.000 0.000 0.000
Ce1 0.500 0.500 0.500
Cd1 0.257 0.257 0.257
Cd2 0.743 0.743 0.743
Pd1 0.112 0.112 0.112
Pd2 0.377 0.377 0.377
Pd3 0.623 0.623 0.623
Pd4 0.888 0.888 0.888

Results
Its crystal system is trigonal. For the total energy, the calculation gives -4.32 eV/atom.

8.
Entry from the Alexandria database: a geometry-optimized Tb2Zn15Cu2 structure (PBE-GGA).

a b c (Å): 6.757 6.757 6.757
angles (deg): 82.63 82.63 82.63
Fractional positions:
Tb1 0.165 0.165 0.165
Tb2 0.835 0.835 0.835
Zn1 0.000 0.500 0.500
Zn2 0.148 0.148 0.657
Zn3 0.148 0.657 0.148
Zn4 0.209 0.500 0.791
Zn5 0.209 0.791 0.500
Zn6 0.343 0.852 0.852
Zn7 0.500 0.000 0.500
Zn8 0.500 0.209 0.791
Zn9 0.500 0.500 0.000
Zn10 0.500 0.791 0.209
Zn11 0.657 0.148 0.148
Zn12 0.791 0.209 0.500
Zn13 0.791 0.500 0.209
Zn14 0.852 0.343 0.852
Zn15 0.852 0.852 0.343
Cu1 0.400 0.400 0.400
Cu2 0.600 0.600 0.600

Results
Its crystal system is trigonal. For the total energy, the calculation gives -2.15 eV/atom.

9.
Entry from the Alexandria database: a geometry-optimized RbZrSc structure (PBE-GGA).

a b c (Å): 5.127 6.706 11.941
angles (deg): 90.00 90.00 90.00
Fractional positions:
Rb1 0.249 0.250 0.156
Rb2 0.251 0.750 0.656
Rb3 0.749 0.250 0.344
Rb4 0.751 0.750 0.844
Zr1 0.249 0.250 0.799
Zr2 0.251 0.750 0.299
Zr3 0.749 0.250 0.701
Zr4 0.751 0.750 0.201
Sc1 0.249 0.250 0.550
Sc2 0.251 0.750 0.050
Sc3 0.749 0.250 0.950
Sc4 0.751 0.750 0.450

Results
Its crystal system is orthorhombic. For the energy above the most stable polymorph in this dataset, the calculation gives 0.6134 eV/atom.

10.
Entry from the Alexandria database: a geometry-optimized LaPmOsO6 structure (PBE-GGA).

a b c (Å): 5.736 5.736 9.477
angles (deg): 90.00 90.00 120.00
Fractional positions:
La1 0.333 0.667 0.250
La2 0.667 0.333 0.750
Pm1 0.000 0.000 0.000
Pm2 0.000 0.000 0.500
Os1 0.333 0.667 0.750
Os2 0.667 0.333 0.250
O1 0.060 0.379 0.634
O2 0.060 0.681 0.866
O3 0.319 0.379 0.866
O4 0.319 0.940 0.634
O5 0.379 0.060 0.134
O6 0.379 0.319 0.366
O7 0.621 0.681 0.634
O8 0.621 0.940 0.866
O9 0.681 0.060 0.366
O10 0.681 0.621 0.134
O11 0.940 0.319 0.134
O12 0.940 0.621 0.366

Results
The calculation puts the raw formation energy at -2309 meV per atom. Its crystal system is trigonal.

11.
Entry from the Alexandria database: a geometry-optimized Sm6TlHg2Te3 structure (PBE-GGA).

a b c (Å): 10.190 10.190 9.293
angles (deg): 108.96 108.96 24.10
Fractional positions:
Sm1 0.002 0.002 0.254
Sm2 0.332 0.332 0.910
Sm3 0.335 0.335 0.409
Sm4 0.665 0.665 0.591
Sm5 0.668 0.668 0.090
Sm6 0.998 0.998 0.746
Tl1 0.500 0.500 0.000
Hg1 0.172 0.172 0.347
Hg2 0.828 0.828 0.653
Te1 0.165 0.165 0.839
Te2 0.500 0.500 0.500
Te3 0.835 0.835 0.161

Results
The calculation puts the raw formation energy at -890 meV per atom. Its crystal system is monoclinic.

12.
Entry from the Alexandria database: a geometry-optimized ReTeN2 structure (PBE-GGA).

a b c (Å): 5.997 5.997 5.997
angles (deg): 60.00 60.00 60.00
Fractional positions:
Re1 0.125 0.125 0.125
Re2 0.875 0.875 0.875
Te1 0.375 0.375 0.375
Te2 0.625 0.625 0.625
N1 0.000 0.000 0.000
N2 0.000 0.000 0.500
N3 0.000 0.500 0.000
N4 0.500 0.000 0.000

Results
The calculation puts the raw formation energy at 426 meV per atom. Its crystal system is cubic.

13.
Entry from the Alexandria database: a geometry-optimized AcHgOsO6 structure (PBE-GGA).

a b c (Å): 5.000 5.671 6.017
angles (deg): 64.12 78.60 74.61
Fractional positions:
Ac1 0.000 0.000 0.000
Hg1 0.380 0.307 0.377
Os1 0.818 0.706 0.670
O1 0.022 0.958 0.599
O2 0.027 0.458 0.938
O3 0.114 0.638 0.389
O4 0.548 0.839 0.873
O5 0.631 0.971 0.352
O6 0.679 0.445 0.673

Results
The calculation puts the raw formation energy at -1449 meV per atom. Its crystal system is triclinic.

14.
Entry from the Alexandria database: a geometry-optimized TbNd2ScBi4 structure (PBE-GGA).

a b c (Å): 7.782 4.506 7.800
angles (deg): 90.00 109.53 90.00
Fractional positions:
Tb1 0.000 0.000 0.000
Nd1 0.500 0.000 0.500
Nd2 0.500 0.500 0.000
Sc1 0.000 0.500 0.500
Bi1 0.232 0.000 0.737
Bi2 0.237 0.500 0.253
Bi3 0.763 0.500 0.747
Bi4 0.768 0.000 0.263

Results
Its crystal system is monoclinic. For the total energy, the calculation gives -5.35 eV/atom.

15.
Entry from the Alexandria database: a geometry-optimized Na3Tc2O7 structure (PBE-GGA).

a b c (Å): 10.532 10.532 3.822
angles (deg): 90.00 90.00 158.83
Fractional positions:
Na1 0.000 0.000 0.000
Na2 0.184 0.816 0.000
Na3 0.816 0.184 0.000
Tc1 0.405 0.595 0.500
Tc2 0.595 0.405 0.500
O1 0.093 0.907 0.500
O2 0.314 0.686 0.500
O3 0.406 0.594 0.000
O4 0.500 0.500 0.500
O5 0.594 0.406 0.000
O6 0.686 0.314 0.500
O7 0.907 0.093 0.500

Results
The calculation puts the raw formation energy at -1498 meV per atom. Its crystal system is orthorhombic.

16.
Entry from the Alexandria database: a geometry-optimized LaTcSb2 structure (PBE-GGA).

a b c (Å): 5.450 8.694 4.420
angles (deg): 90.00 90.00 90.00
Fractional positions:
La1 0.000 0.000 0.000
La2 0.500 0.500 0.000
Tc1 0.000 0.500 0.000
Tc2 0.500 0.000 0.000
Sb1 0.000 0.320 0.500
Sb2 0.000 0.680 0.500
Sb3 0.500 0.180 0.500
Sb4 0.500 0.820 0.500

Results
The calculation puts the raw formation energy at -317 meV per atom. Its crystal system is orthorhombic. For the energy above the most stable polymorph in this dataset, the calculation gives 0.1489 eV/atom.

17.
Entry from the Alexandria database: a geometry-optimized CsY3Se structure (PBE-GGA).

a b c (Å): 5.669 5.669 5.669
angles (deg): 90.00 90.00 90.00
Fractional positions:
Cs1 0.000 0.000 0.000
Y1 0.000 0.500 0.500
Y2 0.500 0.000 0.500
Y3 0.500 0.500 0.000
Se1 0.500 0.500 0.500

Results
The calculation puts the raw formation energy at -72 meV per atom. Its crystal system is cubic. For the energy above the most stable polymorph in this dataset, the calculation gives 0.0000 eV/atom.

18.
Entry from the Alexandria database: a geometry-optimized TiCdCl2 structure (PBE-GGA).

a b c (Å): 7.277 7.277 10.550
angles (deg): 90.00 90.00 90.00
Fractional positions:
Ti1 0.000 0.000 0.000
Ti2 0.000 0.500 0.250
Ti3 0.500 0.000 0.750
Ti4 0.500 0.500 0.500
Cd1 0.000 0.000 0.500
Cd2 0.000 0.500 0.750
Cd3 0.500 0.000 0.250
Cd4 0.500 0.500 0.000
Cl1 0.107 0.250 0.125
Cl2 0.250 0.607 0.375
Cl3 0.250 0.893 0.875
Cl4 0.393 0.250 0.625
Cl5 0.607 0.750 0.625
Cl6 0.750 0.107 0.875
Cl7 0.750 0.393 0.375
Cl8 0.893 0.750 0.125

Results
The calculation puts the raw formation energy at -669 meV per atom. Its crystal system is tetragonal. For the energy above the most stable polymorph in this dataset, the calculation gives 0.2967 eV/atom.

19.
Entry from the Alexandria database: a geometry-optimized LiSnTe2Ir structure (PBE-GGA).

a b c (Å): 5.275 5.275 4.639
angles (deg): 90.00 90.00 90.00
Fractional positions:
Li1 0.000 0.000 0.000
Sn1 0.500 0.500 0.000
Te1 0.000 0.500 0.500
Te2 0.500 0.000 0.500
Ir1 0.000 0.000 0.500

Results
The calculation puts the raw formation energy at 78 meV per atom. Its crystal system is tetragonal.

20.
Entry from the Alexandria database: a geometry-optimized Rb2NaVP structure (PBE-GGA).

a b c (Å): 6.282 6.282 5.055
angles (deg): 90.00 90.00 90.00
Fractional positions:
Rb1 0.000 0.500 0.000
Rb2 0.500 0.000 0.000
Na1 0.000 0.000 0.000
V1 0.500 0.500 0.500
P1 0.000 0.000 0.500

Results
Its crystal system is tetragonal. For the total energy, the calculation gives -2.66 eV/atom.